TbPuPa | PBE | relaxed

Unit cell a=5.2657 b=5.2657 c=3.3306 alpha=90.00 beta=90.00 gamma=120.00
Fractional coordinates of all 3 atoms:
Tb 0.0000 0.0000 0.0000
Pu 0.6667 0.3333 0.5000
Pa 0.3333 0.6667 0.5000

Values from the calculation:
energy above the most stable polymorph in this dataset: 101 meV per atom
symmetry: No. 187
energy: -27.8 eV per formula unit